1.
## ErGa6Pd (PBE)

Data for ErGa6Pd after structural relaxation.

a = 6.033 Å, b = 6.033 Å, c = 4.436 Å
α = 90.00°, β = 90.00°, γ = 112.99°
Fractional positions:
Er: 0.000 0.000 0.000
Ga: 0.000 0.500 0.000
Ga: 0.207 0.793 0.500
Ga: 0.302 0.302 0.500
Ga: 0.500 0.000 0.000
Ga: 0.698 0.698 0.500
Ga: 0.793 0.207 0.500
Pd: 0.500 0.500 0.000

Computed properties:
- Total moment: 0.0000 μB per atom



2.
## Er6Ga2Pd (PBE)

Data for Er6Ga2Pd after structural relaxation.

a = 8.479 Å, b = 8.479 Å, c = 8.479 Å
α = 146.69°, β = 131.60°, γ = 60.02°
Fractional positions:
Er: 0.082 0.337 0.745
Er: 0.243 0.000 0.243
Er: 0.409 0.663 0.745
Er: 0.591 0.337 0.255
Er: 0.757 0.000 0.757
Er: 0.918 0.663 0.255
Ga: 0.332 0.832 0.500
Ga: 0.668 0.168 0.500
Pd: 0.000 0.500 0.500

Computed properties:
- Total moment: 0.0000 μB per atom



| no. | DFT formation energy (meV per atom) |
| --- | --- |
| 1 | -331 |
| 2 | -341 |